{
  "formula": "Nd3Si2GePt9",
  "functional": "PBE",
  "state": "optimized geometry",
  "density_g_cm3": 12.2,
  "raw_formation_energy_ev_per_atom": -0.7407,
  "vol_a3_per_atom": 21.01,
  "final_energy_ev_per_atom": -6.3496,
  "lattice_angstrom": [[-0.502, -0.405, 6.428], [-2.076, -4.861, -3.714], [7.900, -3.669, 0.386]],
  "species": ["Nd", "Nd", "Nd", "Si", "Si", "Ge", "Pt", "Pt", "Pt", "Pt", "Pt", "Pt", "Pt", "Pt", "Pt"],
  "frac_coords": [[0.333, 0.667, 0.697], [0.000, 0.000, 0.000], [0.667, 0.333, 0.303], [0.333, 0.667, 0.184], [0.667, 0.333, 0.816], [0.000, 0.000, 0.500], [0.855, 0.145, 0.716], [0.855, 0.711, 0.716], [0.289, 0.145, 0.716], [0.711, 0.855, 0.284], [0.145, 0.289, 0.284], [0.145, 0.855, 0.284], [0.500, 0.000, 0.000], [0.000, 0.500, 0.000], [0.500, 0.500, 0.000]]
}